This record from Alexandria via LeMat-Bulk describes crystalline ScSbTe2As at its relaxed geometry. The functional is PBE.

a b c (Å): 5.4305 5.4305 5.5642
angles (deg): 90.00 90.00 90.00
Sites, in units of the cell vectors:
Sc (0.0000, 0.0000, 0.0000)
Sb (0.0000, 0.0000, 0.5000)
Te (0.0000, 0.5000, 0.0000)
Te (0.5000, 0.0000, 0.0000)
As (0.5000, 0.5000, 0.5000)

Calculated values
Formation energy without anion corrections in eV per formula unit: 1.530
DOS at the Fermi energy in states/eV/cell: 6.438
Symmetry: P4/mmm
Offset from the most stable computed form in eV/atom: 0.022
Magnetic moment in Bohr magnetons per cell: 0.72